Rb2RuPtF6 | GGA-PBE | relaxed

Calculated values
* VASP energy: -0.167 hartree per atom
* magnetization: 2.0 μB/cell
* E_form (uncorrected): -1684 meV per atom
* volume: 194 Å³/cell
* density of states at the Fermi level: 8.3 states/eV/cell
* space-group type: I4/mmm, No. 139

a b c (Å): 6.932 6.932 6.351
angles (deg): 56.93 56.93 90.00
Positions (direct):
Ru 0.500 0.500 0.000
Rb 0.750 0.250 0.500
Rb 0.250 0.750 0.500
Pt 0.000 0.000 0.000
F 0.249 0.249 0.502
F 0.751 0.751 0.498
F 0.298 0.298 0.000
F 0.702 0.702 0.000
F 0.702 0.298 0.000
F 0.298 0.702 0.000